Material: V2OsC
Method: DFT, PBE-GGA
State: relaxed

Cell: 2.8532 2.8532 6.7731 Å, 77.84 77.84 60.00°
Closest atoms and distances in Å follow each position.
Atoms (fractional coordinates):
V 0.0583 0.0583 0.8251  3 C 2.00
V 0.2749 0.2749 0.1753  3 C 2.01
Os 0.4997 0.4997 0.5010  6 V 2.69-2.70, 6 Os 2.85
C 0.6671 0.6671 0.9986  6 V 2.00-2.01

Calculated values
The total energy is -10.048 eV/atom. As for the density: 10.9 g/cm3. As for the total magnetization: 0.0 μB/cell. Its space group is R3m, No. 160. The energy of formation from the pure elements is -375 meV/atom.



Material: CaPm2Ni2
Method: DFT, PBE-GGA
State: relaxed

Cell: 3.9154 5.4638 6.3546 Å, 101.69 107.94 90.00°
Closest atoms and distances in Å follow each position.
Atoms (fractional coordinates):
Ca 0.0000 0.0000 0.0000  6 Ni 3.32-3.50
Pm 0.3530 0.4207 0.7061  4 Ni 2.80-2.90
Pm 0.6470 0.5793 0.2939  4 Ni 2.80-2.90
Ni 0.7265 0.1189 0.4529  2 Ni 2.48
Ni 0.2735 0.8811 0.5471  2 Ni 2.48

Calculated values
The total energy is -4.734 eV/atom. As for the density: 5.9 g/cm3. As for the total magnetization: 0.0 μB/cell. Its space group is C2/m, No. 12. The energy of formation from the pure elements is -121 meV/atom.



Material: Dy12Ho2Tm5
Method: DFT, PBE-GGA
State: relaxed

Cell: 6.0906 11.6606 13.6075 Å, 137.59 85.81 110.34°
Closest atoms and distances in Å follow each position.
Atoms (fractional coordinates):
Dy 0.1582 0.2111 0.3952  7 Dy 3.51-3.53, 4 Tm 3.51-3.52, 1 Ho 3.52
Dy 0.0520 0.7366 0.1317  7 Dy 3.51-3.53, 4 Tm 3.51-3.52, 1 Ho 3.52
Dy 0.6316 0.8422 0.0792  3 Ho 3.51-3.52, 6 Dy 3.51-3.52, 3 Tm 3.51-3.52
Dy 0.8949 0.5268 0.2371  7 Dy 3.51-3.52, 4 Tm 3.51-3.52, 1 Ho 3.53
Dy 0.3155 0.4208 0.2894  6 Dy 3.51-3.53, 4 Tm 3.52, 2 Ho 3.52
Dy 0.4213 0.8951 0.5527  7 Dy 3.51-3.53, 5 Tm 3.51-3.52
Dy 0.5787 0.1049 0.4473  7 Dy 3.51-3.53, 5 Tm 3.51-3.52
Dy 0.1051 0.4732 0.7629  7 Dy 3.51-3.52, 4 Tm 3.51-3.52, 1 Ho 3.53
Dy 0.6845 0.5792 0.7106  6 Dy 3.51-3.53, 4 Tm 3.52, 2 Ho 3.52
Dy 0.9480 0.2634 0.8683  7 Dy 3.51-3.53, 4 Tm 3.51-3.52, 1 Ho 3.52
Dy 0.3684 0.1578 0.9208  3 Ho 3.51-3.52, 6 Dy 3.51-3.52, 3 Tm 3.51-3.52
Dy 0.8418 0.7889 0.6048  7 Dy 3.51-3.53, 4 Tm 3.51-3.52, 1 Ho 3.52
Ho 0.7890 0.0526 0.9736  8 Dy 3.51-3.53, 2 Ho 3.51-3.52, 2 Tm 3.52
Ho 0.2110 0.9474 0.0264  8 Dy 3.51-3.53, 2 Ho 3.51-3.52, 2 Tm 3.52
Tm 0.2629 0.6840 0.6576  9 Dy 3.51-3.52, 1 Tm 3.51, 2 Ho 3.52
Tm 0.4740 0.6316 0.1843  10 Dy 3.51-3.52, 2 Tm 3.52
Tm 0.0000 0.0000 0.5000  10 Dy 3.51-3.52, 2 Tm 3.52
Tm 0.5260 0.3684 0.8157  10 Dy 3.51-3.52, 2 Tm 3.52
Tm 0.7371 0.3160 0.3424  9 Dy 3.51-3.52, 1 Tm 3.51, 2 Ho 3.52

Calculated values
The total energy is -4.544 eV/atom. As for the density: 8.9 g/cm3. For the distance to the lowest polymorph of the same formula, the calculation gives 0 meV per atom. As for the total magnetization: 0.0 μB/cell. Its space group is P-1, No. 2. The energy of formation from the pure elements is 21 meV/atom.



Material: HfGaAu
Method: DFT, PBE-GGA
State: relaxed

Cell: 5.6135 5.6135 9.1980 Å, 90.00 90.00 90.00°
Closest atoms and distances in Å follow each position.
Atoms (fractional coordinates):
Ga 0.3299 0.3299 0.0000  3 Au 2.49-2.67
Ga 0.6701 0.6701 0.5000  3 Au 2.49-2.67
Ga 0.1701 0.8299 0.2500  3 Au 2.49-2.67
Ga 0.8299 0.1701 0.7500  3 Au 2.49-2.67
Au 0.5162 0.4838 0.7500  3 Ga 2.49-2.67, 3 Hf 2.63-2.73
Au 0.9838 0.9838 0.5000  3 Ga 2.49-2.67, 3 Hf 2.63-2.73
Au 0.0162 0.0162 0.0000  3 Ga 2.49-2.67, 3 Hf 2.63-2.73
Au 0.4838 0.5162 0.2500  3 Ga 2.49-2.67, 3 Hf 2.63-2.73
Hf 0.8146 0.1854 0.2500  3 Au 2.63-2.73, 1 Ga 2.82
Hf 0.6854 0.6854 0.0000  3 Au 2.63-2.73, 1 Ga 2.82
Hf 0.3146 0.3146 0.5000  3 Au 2.63-2.73, 1 Ga 2.82
Hf 0.1854 0.8146 0.7500  3 Au 2.63-2.73, 1 Ga 2.82

Calculated values
The total energy is -5.186 eV/atom. As for the density: 10.2 g/cm3. As for the total magnetization: 0.0 μB/cell. Its space group is P4_12_12, No. 92. The energy of formation from the pure elements is 233 meV/atom.



Material: TiGa2Co2
Method: DFT, PBE-GGA
State: relaxed

Cell: 6.9089 6.9089 2.7650 Å, 90.00 90.00 90.00°
Closest atoms and distances in Å follow each position.
Atoms (fractional coordinates):
Co 0.3620 0.8620 0.0000  6 Ga 2.42-2.48, 2 Ti 2.68, 1 Co 2.70
Co 0.8620 0.6380 0.0000  6 Ga 2.42-2.48, 2 Ti 2.68, 1 Co 2.70
Co 0.6380 0.1380 0.0000  6 Ga 2.42-2.48, 2 Ti 2.68, 1 Co 2.70
Co 0.1380 0.3620 0.0000  6 Ga 2.42-2.48, 2 Ti 2.68, 1 Co 2.70
Ga 0.1591 0.6591 0.5000  6 Co 2.42-2.48
Ga 0.6591 0.8409 0.5000  6 Co 2.42-2.48
Ga 0.8409 0.3409 0.5000  6 Co 2.42-2.48
Ga 0.3409 0.1591 0.5000  6 Co 2.42-2.48
Ti 0.0000 0.0000 0.0000  4 Co 2.68, 2 Ti 2.77, 8 Ga 2.94
Ti 0.5000 0.5000 0.0000  4 Co 2.68, 2 Ti 2.77, 8 Ga 2.94

Calculated values
The total energy is -5.913 eV/atom. As for the density: 7.7 g/cm3. For the distance to the lowest polymorph of the same formula, the calculation gives 0 meV per atom. As for the total magnetization: 0.0 μB/cell. Its space group is P4/mbm, No. 127. The energy of formation from the pure elements is -281 meV/atom.



Material: EuPuSiHg
Method: DFT, PBE-GGA
State: relaxed

Cell: 5.2500 5.2500 5.2500 Å, 60.00 60.00 60.00°
Closest atoms and distances in Å follow each position.
Atoms (fractional coordinates):
Eu 0.0000 0.0000 0.0000  4 Si 3.21, 4 Hg 3.21
Si 0.7500 0.7500 0.7500  4 Pu 3.21, 4 Eu 3.21
Hg 0.2500 0.2500 0.2500  4 Eu 3.21, 4 Pu 3.21
Pu 0.5000 0.5000 0.5000  4 Hg 3.21, 4 Si 3.21

Calculated values
The total energy is -7.864 eV/atom. The calculation puts the uncorrected formation energy at -0.281 eV per atom. As for the density: 10.1 g/cm3. As for the total magnetization: 13.0 μB/cell. Its space group is F-43m, No. 216.



Material: La16Pm6Dy7
Method: DFT, PBE-GGA
State: relaxed

Cell: 11.3884 11.3884 11.3884 Å, 60.00 60.00 60.00°
Closest atoms and distances in Å follow each position.
Atoms (fractional coordinates):
La 0.8791 0.8791 0.3628  4 Dy 3.37-3.53, 3 La 3.70
La 0.8791 0.8791 0.8791  4 Dy 3.37-3.53, 3 La 3.70
La 0.8791 0.3628 0.8791  4 Dy 3.37-3.53, 3 La 3.70
La 0.3628 0.8791 0.8791  4 Dy 3.37-3.53, 3 La 3.70
La 0.1209 0.1209 0.1209  4 Dy 3.37-3.53, 3 La 3.70
La 0.1209 0.1209 0.6372  4 Dy 3.37-3.53, 3 La 3.70
La 0.1209 0.6372 0.1209  4 Dy 3.37-3.53, 3 La 3.70
La 0.6372 0.1209 0.1209  4 Dy 3.37-3.53, 3 La 3.70
La 0.6546 0.6546 0.0361  3 Dy 3.30, 3 Pm 3.61, 3 La 3.70
La 0.6546 0.6546 0.6546  3 Dy 3.30, 3 Pm 3.61, 3 La 3.70
La 0.6546 0.0361 0.6546  3 Dy 3.30, 3 Pm 3.61, 3 La 3.70
La 0.0361 0.6546 0.6546  3 Dy 3.30, 3 Pm 3.61, 3 La 3.70
La 0.3454 0.3454 0.3454  3 Dy 3.30, 3 Pm 3.61, 3 La 3.70
La 0.3454 0.3454 0.9639  3 Dy 3.30, 3 Pm 3.61, 3 La 3.70
La 0.3454 0.9639 0.3454  3 Dy 3.30, 3 Pm 3.61, 3 La 3.70
La 0.9639 0.3454 0.3454  3 Dy 3.30, 3 Pm 3.61, 3 La 3.70
Pm 0.2963 0.7037 0.2963  8 La 3.61-3.94
Pm 0.7037 0.2963 0.7037  8 La 3.61-3.94
Pm 0.7037 0.2963 0.2963  8 La 3.61-3.94
Pm 0.2963 0.7037 0.7037  8 La 3.61-3.94
Pm 0.7037 0.7037 0.2963  8 La 3.61-3.94
Pm 0.2963 0.2963 0.7037  8 La 3.61-3.94
Dy 0.0000 0.0000 0.0000  8 La 3.37
Dy 0.5000 0.0000 0.5000  8 La 3.30-3.53
Dy 0.0000 0.5000 0.0000  8 La 3.30-3.53
Dy 0.0000 0.5000 0.5000  8 La 3.30-3.53
Dy 0.5000 0.0000 0.0000  8 La 3.30-3.53
Dy 0.0000 0.0000 0.5000  8 La 3.30-3.53
Dy 0.5000 0.5000 0.0000  8 La 3.30-3.53

Calculated values
The total energy is -4.625 eV/atom. As for the density: 6.7 g/cm3. As for the total magnetization: 0.6 μB/cell. Its space group is Fm-3m, No. 225. The energy of formation from the pure elements is 187 meV/atom.



Material: CsBa2YNi
Method: DFT, PBE-GGA
State: relaxed

Cell: 6.5242 5.4342 6.5242 Å, 90.00 90.00 90.00°
Closest atoms and distances in Å follow each position.
Atoms (fractional coordinates):
Cs 0.5000 0.5000 0.5000  8 Ba 4.25, 4 Y 4.61
Y 0.0000 0.5000 0.0000  2 Ni 2.72
Ba 0.0000 0.0000 0.5000  2 Ni 3.26
Ba 0.5000 0.0000 0.0000  2 Ni 3.26
Ni 0.0000 0.0000 0.0000  2 Y 2.72

Calculated values
The total energy is -3.209 eV/atom. As for the density: 4.0 g/cm3. As for the total magnetization: 0.0 μB/cell. Its space group is P4/mmm, No. 123. The energy of formation from the pure elements is 180 meV/atom.